A relaxed LiPmNdSm crystal, computed with PBE.

Summary:
**Formation energy from the elements**: 0.19 eV/atom
**SG**: No. 216
**Calculated volume**: 31.41 Å³ per atom

POSCAR file:
```
LiPmNdSm
1.0
7.951 0.000 0.000
0.000 7.951 0.000
0.000 0.000 7.951
Li Pm Nd Sm
4 4 4 4
direct
0.000 0.000 0.000 Li
0.000 0.500 0.500 Li
0.500 0.000 0.500 Li
0.500 0.500 0.000 Li
0.000 0.000 0.500 Pm
0.000 0.500 0.000 Pm
0.500 0.000 0.000 Pm
0.500 0.500 0.500 Pm
0.250 0.250 0.750 Nd
0.250 0.750 0.250 Nd
0.750 0.250 0.250 Nd
0.750 0.750 0.750 Nd
0.250 0.250 0.250 Sm
0.250 0.750 0.750 Sm
0.750 0.250 0.750 Sm
0.750 0.750 0.250 Sm
```